# Th6Co2Ir3S, relaxed, DFT GGA-PBE
data_Th6Co2Ir3S
_chemical_formula_sum 'Th12 Co4 Ir6 S2'
_space_group_name_H-M_alt 'C 1 2/m 1'
_space_group_IT_number 12
_space_group_name_Hall '-C 2y'
_cell_length_a 17.7873
_cell_length_b 4.0605
_cell_length_c 8.2515
_cell_angle_alpha 90.00
_cell_angle_beta 103.01
_cell_angle_gamma 90.00
loop_
_atom_site_label
_atom_site_type_symbol
_atom_site_fract_x
_atom_site_fract_y
_atom_site_fract_z
Th1 Th 0.0071 0.0000 0.2618
Th2 Th 0.1679 0.5000 0.5775
Th3 Th 0.1721 0.5000 0.0883
Co1 Co 0.1653 0.0000 0.3273
Ir1 Ir 0.0000 0.5000 0.5000
Ir2 Ir 0.1599 0.0000 0.8308
S1 S 0.0000 0.5000 0.0000
# Fermi-level density of states in states/eV/cell: 15.633
# E_form (uncorrected) in meV per atom: -832.7



# Te2IrRhI, relaxed, DFT GGA-PBE
data_Te2IrRhI
_chemical_formula_sum 'Te2 Ir1 Rh1 I1'
_space_group_name_H-M_alt 'P 4/m m m'
_space_group_IT_number 123
_space_group_name_Hall '-P 4 2'
_cell_length_a 5.1648
_cell_length_b 5.1648
_cell_length_c 5.5019
_cell_angle_alpha 90.00
_cell_angle_beta 90.00
_cell_angle_gamma 90.00
loop_
_atom_site_label
_atom_site_type_symbol
_atom_site_fract_x
_atom_site_fract_y
_atom_site_fract_z
Te1 Te 0.0000 0.5000 0.0000
Ir1 Ir 0.0000 0.0000 0.0000
Rh1 Rh 0.5000 0.5000 0.5000
I1 I 0.0000 0.0000 0.5000
# Fermi-level density of states in states/eV/cell: 8.124
# E above lowest polymorph in meV/atom: 0.0
# E_form (uncorrected) in meV per atom: 1019.7



# DySbAs, relaxed, DFT GGA-PBE
data_DySbAs
_chemical_formula_sum 'Dy4 Sb4 As4'
_space_group_name_H-M_alt 'C m m e'
_space_group_IT_number 67
_space_group_name_Hall '-C 2a 2'
_cell_length_a 6.0273
_cell_length_b 6.3498
_cell_length_c 8.1322
_cell_angle_alpha 90.00
_cell_angle_beta 90.00
_cell_angle_gamma 90.00
loop_
_atom_site_label
_atom_site_type_symbol
_atom_site_fract_x
_atom_site_fract_y
_atom_site_fract_z
Dy1 Dy 0.0000 0.2500 0.1676
Sb1 Sb 0.0000 0.0000 0.5000
As1 As 0.0000 0.2500 0.8170
# Fermi-level density of states in states/eV/cell: 3.002
# E above lowest polymorph in meV/atom: 0.0
# E_form (uncorrected) in meV per atom: -749.9



# Ca6Tl3Sn, relaxed, DFT GGA-PBE
data_Ca6Tl3Sn
_chemical_formula_sum 'Ca12 Tl6 Sn2'
_space_group_name_H-M_alt 'P 1 21/m 1'
_space_group_IT_number 11
_space_group_name_Hall '-P 2yb'
_cell_length_a 9.6082
_cell_length_b 5.4612
_cell_length_c 12.1499
_cell_angle_alpha 90.00
_cell_angle_beta 106.09
_cell_angle_gamma 90.00
loop_
_atom_site_label
_atom_site_type_symbol
_atom_site_fract_x
_atom_site_fract_y
_atom_site_fract_z
Ca1 Ca 0.0281 0.2500 0.4079
Ca2 Ca 0.1432 0.7500 0.1705
Ca3 Ca 0.2619 0.2500 0.9971
Ca4 Ca 0.3430 0.7500 0.8282
Ca5 Ca 0.3606 0.2500 0.3116
Ca6 Ca 0.3946 0.2500 0.6057
Tl1 Tl 0.0217 0.7500 0.8776
Tl2 Tl 0.1228 0.2500 0.7128
Tl3 Tl 0.2712 0.7500 0.4650
Sn1 Sn 0.4528 0.7500 0.1277
# Fermi-level density of states in states/eV/cell: 12.326
# Total energy in hartree per atom: -0.101



# NbVHRh2, relaxed, DFT GGA-PBE
data_NbVHRh2
_chemical_formula_sum 'Nb1 V1 H1 Rh2'
_space_group_name_H-M_alt 'P 4/m m m'
_space_group_IT_number 123
_space_group_name_Hall '-P 4 2'
_cell_length_a 3.9246
_cell_length_b 3.9246
_cell_length_c 3.9850
_cell_angle_alpha 90.00
_cell_angle_beta 90.00
_cell_angle_gamma 90.00
loop_
_atom_site_label
_atom_site_type_symbol
_atom_site_fract_x
_atom_site_fract_y
_atom_site_fract_z
Nb1 Nb 0.0000 0.0000 0.0000
V1 V 0.5000 0.5000 0.0000
H1 H 0.5000 0.5000 0.5000
Rh1 Rh 0.0000 0.5000 0.5000
# Fermi-level density of states in states/eV/cell: 3.589
# E above lowest polymorph in meV/atom: 0.0



# NaAs2Au, relaxed, DFT GGA-PBE
data_NaAs2Au
_chemical_formula_sum 'Na4 As8 Au4'
_space_group_name_H-M_alt 'I -4 2 d'
_space_group_IT_number 122
_space_group_name_Hall 'I -4 2bw'
_cell_length_a 7.9585
_cell_length_b 7.9585
_cell_length_c 5.5412
_cell_angle_alpha 90.00
_cell_angle_beta 90.00
_cell_angle_gamma 90.00
loop_
_atom_site_label
_atom_site_type_symbol
_atom_site_fract_x
_atom_site_fract_y
_atom_site_fract_z
Na1 Na 0.0000 0.0000 0.0000
As1 As 0.1917 0.2500 0.6250
Au1 Au 0.0000 0.0000 0.5000
# Fermi-level density of states in states/eV/cell: 6.807
# E above lowest polymorph in meV/atom: 179.7



# KAc4Se5, relaxed, DFT GGA-PBE
data_KAc4Se5
_chemical_formula_sum 'K2 Ac8 Se10'
_space_group_name_H-M_alt 'I m m m'
_space_group_IT_number 71
_space_group_name_Hall '-I 2 2'
_cell_length_a 4.4823
_cell_length_b 6.3242
_cell_length_c 22.6835
_cell_angle_alpha 90.00
_cell_angle_beta 90.00
_cell_angle_gamma 90.00
loop_
_atom_site_label
_atom_site_type_symbol
_atom_site_fract_x
_atom_site_fract_y
_atom_site_fract_z
K1 K 0.0000 0.0000 0.0000
Ac1 Ac 0.0000 0.0000 0.2037
Ac2 Ac 0.0000 0.0000 0.3998
Se1 Se 0.0000 0.5000 0.0000
Se2 Se 0.0000 0.5000 0.1979
Se3 Se 0.0000 0.5000 0.3944
# Fermi-level density of states in states/eV/cell: 5.988
# E_form (uncorrected) in meV per atom: -1830.5



# Sm3YIn3, relaxed, DFT GGA-PBE
data_Sm3YIn3
_chemical_formula_sum 'Sm12 Y4 In12'
_space_group_name_H-M_alt 'P 21 3'
_space_group_IT_number 198
_space_group_name_Hall 'P 2ac 2ab 3'
_cell_length_a 9.4530
_cell_length_b 9.4530
_cell_length_c 9.4530
_cell_angle_alpha 90.00
_cell_angle_beta 90.00
_cell_angle_gamma 90.00
loop_
_atom_site_label
_atom_site_type_symbol
_atom_site_fract_x
_atom_site_fract_y
_atom_site_fract_z
Sm1 Sm 0.0711 0.4289 0.5711
Sm2 Sm 0.1730 0.8270 0.3270
Sm3 Sm 0.1754 0.1754 0.1754
Y1 Y 0.0754 0.5754 0.9246
In1 In 0.0016 0.2532 0.8701
# Fermi-level density of states in states/eV/cell: 33.779
# E above lowest polymorph in meV/atom: 0.0



Which of these has the highest Fermi-level density of states? Sm3YIn3